1.
{
  "formula": "CdCuF3",
  "functional": "PBE",
  "state": "optimized geometry",
  "lattice": [[6.383, -1.831, 0.000], [6.383, 1.831, 0.000], [-0.752, 0.000, 5.960]],
  "species": ["Cd", "Cd", "Cu", "Cu", "F", "F", "F", "F", "F", "F"],
  "fractional_positions": [[0.208, 0.208, 0.237], [0.792, 0.792, 0.763], [0.482, 0.482, 0.286], [0.518, 0.518, 0.714], [0.022, 0.022, 0.255], [0.196, 0.196, 0.616], [0.342, 0.342, 0.997], [0.658, 0.658, 0.003], [0.804, 0.804, 0.384], [0.978, 0.978, 0.745]],
  "spacegroup": "C2/m",
  "mass_density_g_cm3": 5.55,
  "total_energy_ev_per_fu": -18.9,
  "raw_formation_energy_kj_per_mol_fu": -797,
  "relative_energy_ev_per_atom": 0.000
}

=====

2.
{
  "formula": "Cd3CuF",
  "functional": "PBE",
  "state": "optimized geometry",
  "lattice": [[4.993, 0.000, 0.000], [0.000, 4.993, 0.000], [0.000, 0.000, 4.993]],
  "species": ["Cd", "Cd", "Cd", "Cu", "F"],
  "fractional_positions": [[0.000, 0.000, 0.500], [0.000, 0.500, 0.000], [0.500, 0.000, 0.000], [0.000, 0.000, 0.000], [0.500, 0.500, 0.500]],
  "spacegroup": "Pm-3m",
  "mass_density_g_cm3": 5.60,
  "total_energy_ev_per_fu": -9.7,
  "raw_formation_energy_kj_per_mol_fu": -97,
  "relative_energy_ev_per_atom": 0.000
}